[1]
The following is a DFT calculation (PBE) of a geometry-optimized Na2LiCuF4 structure.

The value obtained for the uncorrected formation energy is -2.184 eV/atom. The value obtained for the total magnetic moment is 0.082 μB per formula unit. The value obtained for the electronic total energy is -67.208 eV per cell.

Cell: 5.7298 5.7298 5.6199 Å, 90.00 90.00 90.00°
Space group I-42m (No. 121)
Unique sites:
Na 0.0000 0.5000 0.0000 x4
Li 0.0000 0.0000 0.0000 x2
Cu 0.0000 0.0000 0.5000 x2
F 0.1779 0.1779 0.2182 x8



[2]
The following is a DFT calculation (PBE) of a geometry-optimized LiCaTl2Pb structure.

The density of states at the Fermi level is 7.7 states/eV per cell. The value obtained for the total magnetic moment is 0.000 μB per formula unit. The formation energy is -0.1866 eV per atom. The value obtained for the excess energy over the best structure of this formula in the dataset is 0 meV per atom. The value obtained for the electronic total energy is -53.157 eV per cell.

Cell: 7.2577 11.7377 6.6076 Å, 90.00 90.00 90.00°
Space group Cmcm (No. 63)
Unique sites:
Li 0.0000 0.0721 0.2500 x4
Ca 0.0000 0.2420 0.7500 x4
Tl 0.2198 0.5000 0.0000 x8
Pb 0.0000 0.3018 0.2500 x4



[3]
The following is a DFT calculation (PBE) of a geometry-optimized CaThSe2 structure.

The value obtained for the uncorrected formation energy is -1.709 eV/atom. The density of states at the Fermi level is 7.0 states/eV per cell. The value obtained for the total magnetic moment is 0.000 μB per formula unit. The value obtained for the excess energy over the best structure of this formula in the dataset is 12 meV per atom. The value obtained for the electronic total energy is -69.682 eV per cell.

Cell: 4.0291 4.0291 22.2123 Å, 90.00 90.00 120.00°
Space group R-3m (No. 166, hexagonal axes)
Unique sites:
Ca 0.0000 0.0000 0.0000 x3
Th 0.0000 0.0000 0.5000 x3
Se 0.0000 0.0000 0.2539 x6



[4]
The following is a DFT calculation (PBE) of a geometry-optimized AsPtSe3 structure.

The value obtained for the uncorrected formation energy is 0.990 eV/atom. The density of states at the Fermi level is 8.2 states/eV per cell. The value obtained for the total magnetic moment is 0.000 μB per formula unit. The value obtained for the excess energy over the best structure of this formula in the dataset is 384 meV per atom. The value obtained for the electronic total energy is -16.194 eV per cell.

Cell: 4.9433 4.9433 4.9433 Å, 90.00 90.00 90.00°
Space group Pm-3m (No. 221)
Unique sites:
As 0.0000 0.0000 0.0000 x1
Pt 0.5000 0.5000 0.5000 x1
Se 0.0000 0.0000 0.5000 x3



[5]
The following is a DFT calculation (PBE) of a geometry-optimized AgBP3 structure.

The density of states at the Fermi level is 5.1 states/eV per cell. The value obtained for the total magnetic moment is 0.000 μB per formula unit. The formation energy is 2.1067 eV per atom. The value obtained for the excess energy over the best structure of this formula in the dataset is 1229 meV per atom. The value obtained for the electronic total energy is -15.225 eV per cell.

Cell: 4.8229 4.8229 4.8229 Å, 90.00 90.00 90.00°
Space group Pm-3m (No. 221)
Unique sites:
Ag 0.0000 0.0000 0.0000 x1
B 0.5000 0.5000 0.5000 x1
P 0.0000 0.0000 0.5000 x3



[6]
The following is a DFT calculation (PBE) of a geometry-optimized PrPd2Au10 structure.

The density of states at the Fermi level is 20.0 states/eV per cell. The value obtained for the total magnetic moment is 0.000 μB per formula unit. The formation energy is -0.2429 eV per atom. The value obtained for the electronic total energy is -204.385 eV per cell.

Cell: 5.6118 13.1178 13.6358 Å, 90.00 90.00 90.00°
Space group Fmmm (No. 69)
Unique sites:
Pr 0.0000 0.0000 0.0000 x4
Pd 0.2500 0.2500 0.0000 x8
Au 0.0000 0.1083 0.3942 x16
Au 0.0000 0.1759 0.1674 x16
Au 0.2500 0.0000 0.2500 x8



[7]
The following is a DFT calculation (PBE) of a geometry-optimized Na2HoSi2O6 structure.

The value obtained for the uncorrected formation energy is -2.375 eV/atom. The density of states at the Fermi level is 1.5 states/eV per cell. The value obtained for the total magnetic moment is 0.780 μB per formula unit. The value obtained for the electronic total energy is -73.936 eV per cell.

Cell: 5.5711 5.5711 7.2543 Å, 90.00 90.00 120.00°
Space group P-3 (No. 147)
Unique sites:
Na 0.3333 0.6667 0.2970 x2
Ho 0.0000 0.0000 0.0000 x1
Si 0.3333 0.6667 0.7944 x2
O 0.0708 0.7083 0.8192 x6



[8]
The following is a DFT calculation (PBE) of a geometry-optimized Sr2AgP3Pt12 structure.

The density of states at the Fermi level is 15.4 states/eV per cell. The value obtained for the total magnetic moment is 0.000 μB per formula unit. The formation energy is -0.2568 eV per atom. The value obtained for the electronic total energy is -298.670 eV per cell.

Cell: 8.3578 8.3578 18.1231 Å, 90.00 90.00 120.00°
Space group R-3m (No. 166, hexagonal axes)
Unique sites:
Sr 0.0000 0.0000 0.1071 x6
Ag 0.0000 0.0000 0.5000 x3
P 0.0000 0.5000 0.0000 x9
Pt 0.0051 0.5026 0.8761 x18
Pt 0.0449 0.5225 0.3597 x18